1.
This record from Alexandria via LeMat-Bulk describes an optimized crystal structure of TlZnRu. The functional is GGA-PBEsol.

extended XYZ file:
```
3
Lattice="-0.720 -1.317 -2.862 2.943 0.767 -1.093 0.538 -3.906 3.486" Properties=species:S:1:pos:R:3 pbc="T T T"
Ru 0.071 -0.181 0.065
Tl 1.112 -2.819 1.017
Zn 1.578 -1.457 -1.551
```

Summary:
As for the formation energy: 1.00 eV per formula unit. The calculation puts the total magnetization at 0.00 Bohr magnetons per cell.

***

2.
This record from Alexandria via LeMat-Bulk describes an optimized crystal structure of LiTlF2. The functional is GGA-PBEsol.

extended XYZ file:
```
8
Lattice="5.762 0.000 0.000 -2.881 4.599 0.291 0.000 3.310 4.716" Properties=species:S:1:pos:R:3 pbc="T T T"
Tl 2.881 4.782 3.683
Tl 0.000 0.000 0.000
Li 0.000 3.127 1.325
Li 2.881 1.655 2.358
F 0.777 4.691 1.987
F -0.777 6.346 4.345
F 4.321 2.838 2.477
F 1.440 1.945 1.205
```

Summary:
The calculation puts the uncorrected formation energy at -2.263 eV per atom. The calculation puts the total magnetization at 0.00 Bohr magnetons per cell.

***

3.
This record from Alexandria via LeMat-Bulk describes an optimized crystal structure of Ni2Pt2Pb. The functional is GGA-PBEsol.

extended XYZ file:
```
5
Lattice="3.572 0.000 0.000 0.000 3.572 0.000 -1.786 -1.786 6.300" Properties=species:S:1:pos:R:3 pbc="T T T"
Pb 0.000 0.000 0.000
Ni 0.000 1.786 3.150
Ni 1.786 0.000 3.150
Pt 0.000 0.000 4.902
Pt 1.786 1.786 1.397
```

Summary:
As for the formation energy: 0.99 eV per formula unit. The calculation puts the total magnetization at 1.26 Bohr magnetons per cell.

***

4.
This record from Alexandria via LeMat-Bulk describes an optimized crystal structure of LiLaCo4. The functional is GGA-PBEsol.

extended XYZ file:
```
6
Lattice="4.903 0.000 0.000 2.452 4.246 0.000 2.452 1.415 4.003" Properties=species:S:1:pos:R:3 pbc="T T T"
Li 0.000 0.000 0.000
Co 4.903 2.831 0.491
Co 3.670 3.543 2.505
Co 4.903 1.407 2.505
Co 6.137 3.543 2.505
La 2.452 1.415 1.001
```

Summary:
As for the formation energy: 0.48 eV per formula unit. The calculation puts the total magnetization at 4.02 Bohr magnetons per cell.

***

5.
This record from Alexandria via LeMat-Bulk describes an optimized crystal structure of Cd2AgAu. The functional is GGA-PBEsol.

extended XYZ file:
```
4
Lattice="-2.178 -4.104 0.553 2.476 -3.969 0.092 0.466 -2.375 4.005" Properties=species:S:1:pos:R:3 pbc="T T T"
Au 0.191 -2.612 1.162
Ag 0.382 -5.224 2.325
Cd 0.000 0.000 0.000
Cd 0.572 -7.836 3.487
```

Summary:
Its energy above the most stable polymorph in this dataset is 0.051 eV per atom. As for the formation energy: -0.37 eV per formula unit. The calculation puts the total magnetization at 0.00 Bohr magnetons per cell.

***

6.
This record from Alexandria via LeMat-Bulk describes an optimized crystal structure of HPd3Ru. The functional is GGA-PBEsol.

extended XYZ file:
```
5
Lattice="-1.923 -1.412 -4.053 -1.503 -3.939 2.085 -4.020 2.147 1.160" Properties=species:S:1:pos:R:3 pbc="T T T"
Ru 0.000 0.000 0.000
Pd -0.751 -1.970 1.042
Pd -2.010 1.074 0.580
Pd -0.962 -0.706 -2.027
H -3.723 -1.602 -0.404
```

Summary:
The calculation puts the total magnetization at 1.38 Bohr magnetons per cell. As for the total energy: -4.45 eV per atom.

***

7.
This record from Alexandria via LeMat-Bulk describes an optimized crystal structure of ZnNiAg. The functional is GGA-PBEsol.

extended XYZ file:
```
3
Lattice="-3.126 0.835 -2.521 -3.786 0.458 1.510 -1.749 3.710 0.061" Properties=species:S:1:pos:R:3 pbc="T T T"
Ag -2.165 1.251 -0.237
Ni 0.000 0.000 0.000
Zn -4.331 2.501 -0.475
```

Summary:
As for the formation energy: 1.38 eV per formula unit. The calculation puts the total magnetization at 0.00 Bohr magnetons per cell.

***

8.
This record from Alexandria via LeMat-Bulk describes an optimized crystal structure of ZnFeCu2. The functional is GGA-PBEsol.

extended XYZ file:
```
4
Lattice="-2.544 0.174 0.541 0.745 -1.401 3.956 1.454 4.620 -0.935" Properties=species:S:1:pos:R:3 pbc="T T T"
Cu 0.002 0.011 0.004
Cu -0.999 2.065 0.919
Fe 0.553 3.995 1.310
Zn 0.653 1.330 2.644
```

Summary:
As for the formation energy: 0.49 eV per formula unit. The calculation puts the total magnetization at 2.38 Bohr magnetons per cell.

***

9.
This record from Alexandria via LeMat-Bulk describes an optimized crystal structure of TiINO2. The functional is GGA-PBEsol.

extended XYZ file:
```
5
Lattice="3.970 0.000 0.000 0.000 3.970 0.000 0.000 0.000 4.032" Properties=species:S:1:pos:R:3 pbc="T T T"
I 0.000 0.000 2.016
N 0.000 0.000 0.000
O 0.000 1.985 0.000
O 1.985 0.000 0.000
Ti 1.985 1.985 2.016
```

Summary:
The calculation puts the uncorrected formation energy at 0.758 eV per atom. The calculation puts the total magnetization at 1.07 Bohr magnetons per cell.

***

10.
This record from Alexandria via LeMat-Bulk describes an optimized crystal structure of Si4NiPt. The functional is GGA-PBEsol.

extended XYZ file:
```
6
Lattice="-3.206 3.213 1.803 -3.539 -1.508 3.010 0.144 1.200 4.733" Properties=species:S:1:pos:R:3 pbc="T T T"
Ni -4.951 2.178 7.160
Pt 0.000 0.000 0.000
Si -2.478 1.090 3.584
Si -2.407 1.688 5.943
Si -4.076 2.692 4.483
Si -4.242 0.339 5.084
```

Summary:
The calculation puts the uncorrected formation energy at 0.364 eV per atom. The calculation puts the total magnetization at 0.00 Bohr magnetons per cell.

***

11.
This record from Alexandria via LeMat-Bulk describes an optimized crystal structure of SrSiHg. The functional is GGA-PBEsol.

extended XYZ file:
```
3
Lattice="3.617 0.000 0.000 0.000 3.617 0.000 -1.809 -1.809 5.602" Properties=species:S:1:pos:R:3 pbc="T T T"
Hg 0.000 0.000 0.270
Si 1.809 1.809 1.600
Sr 0.000 0.000 3.733
```

Summary:
The calculation puts the uncorrected formation energy at -0.140 eV per atom. The calculation puts the total magnetization at 0.00 Bohr magnetons per cell.

***

12.
This record from Alexandria via LeMat-Bulk describes an optimized crystal structure of Ti2Cu3Te3O16. The functional is GGA-PBEsol.

extended XYZ file:
```
24
Lattice="-4.469 2.279 -3.066 4.778 -2.494 -3.180 -4.419 -7.925 0.552" Properties=species:S:1:pos:R:3 pbc="T T T"
Ti -0.204 -4.660 -3.166
Ti -1.273 0.548 -3.373
Cu 2.423 -3.267 -3.147
Cu 0.193 -2.130 -4.677
Cu -3.757 -5.304 -4.102
Te -0.059 -2.225 -1.568
Te -3.955 -5.304 -0.991
Te -6.194 -4.163 -2.527
O 0.481 -6.561 -2.731
O 0.955 -3.913 -4.300
O 1.183 -1.761 -3.034
O -1.193 -2.352 -0.009
O -3.666 -6.704 0.362
O -1.775 -5.410 -4.279
O 0.614 -4.063 -1.543
O -1.266 -3.104 -2.833
O -0.853 -0.479 -4.750
O -2.007 -5.102 -0.867
O -3.765 -6.473 -2.501
O -5.714 -5.479 -3.838
O -4.270 -3.811 -2.246
O -0.933 -0.498 -1.866
O -5.917 -5.635 -1.200
O -3.138 0.626 -3.379
```

Summary:
The calculation puts the uncorrected formation energy at -1.249 eV per atom. The calculation puts the total magnetization at 2.84 Bohr magnetons per cell.